(1)
HfTlFe2 PBE-GGA relaxed; crystal system = cubic; ρ = 13.21 g/cm³; volume = 15.54 Å³ per atom; ΔE to the lowest computed polymorph = 0 meV per atom; energy relative to the elements = 84 kJ/mol of formula units
1.0
0.000 3.144 3.144
3.144 0.000 3.144
3.144 3.144 0.000
Fe Hf Tl
2 1 1
Direct
0.750 0.750 0.750
0.250 0.250 0.250
0.000 0.000 0.000
0.500 0.500 0.500

(2)
Hf2TlFe PBE-GGA relaxed; crystal system = tetragonal; ρ = 13.33 g/cm³; volume = 19.22 Å³ per atom; ΔE to the lowest computed polymorph = 0 meV per atom; energy relative to the elements = -27 kJ/mol of formula units
1.0
3.064 0.000 0.000
0.000 3.064 0.000
0.000 0.000 8.189
Fe Hf Tl
1 2 1
Direct
0.500 0.500 0.000
0.000 0.000 0.803
0.000 0.000 0.197
0.500 0.500 0.500

(3)
HfTl2Fe PBE-GGA relaxed; crystal system = tetragonal; ρ = 12.10 g/cm³; volume = 22.06 Å³ per atom; ΔE to the lowest computed polymorph = 0 meV per atom; energy relative to the elements = 213 kJ/mol of formula units
1.0
7.685 0.000 0.000
0.000 7.685 0.000
3.842 3.842 2.988
Tl Fe Hf
4 2 2
Direct
0.155 0.625 0.250
0.595 0.125 0.250
0.875 0.845 0.750
0.375 0.405 0.750
0.250 0.750 0.500
0.500 0.500 0.000
0.000 0.000 0.000
0.750 0.250 0.500

(4)
Hf2TlFe PBE-GGA relaxed; crystal system = trigonal; ρ = 12.58 g/cm³; volume = 20.37 Å³ per atom; ΔE to the lowest computed polymorph = 131 meV per atom; energy relative to the elements = 23 kJ/mol of formula units
1.0
-3.091 1.207 -0.150
-1.977 -0.808 -2.545
-4.537 -6.620 3.459
Tl Hf Fe
1 2 1
Direct
0.500 0.500 0.500
0.732 0.732 0.805
0.268 0.268 0.195
0.000 0.000 0.000

(5)
Hf3TlFe PBE-GGA relaxed; crystal system = cubic; ρ = 11.97 g/cm³; volume = 22.07 Å³ per atom; ΔE to the lowest computed polymorph = 236 meV per atom; energy relative to the elements = 97 kJ/mol of formula units
1.0
-1.436 4.198 1.823
-1.176 -2.185 4.105
4.423 0.782 1.683
Fe Tl Hf
1 1 3
Direct
0.000 0.000 0.000
0.500 0.500 0.500
0.000 0.000 0.500
0.000 0.500 0.000
0.500 0.000 0.000

(6)
Hf4TlFe PBE-GGA relaxed; crystal system = monoclinic; ρ = 12.80 g/cm³; volume = 21.06 Å³ per atom; ΔE to the lowest computed polymorph = 0 meV per atom; energy relative to the elements = -22 kJ/mol of formula units
1.0
5.449 -0.488 0.000
-2.016 7.837 0.000
-1.717 -3.675 6.056
Hf Fe Tl
8 2 2
Direct
0.374 0.937 0.653
0.779 0.717 0.653
0.048 0.188 0.838
0.221 0.283 0.347
0.290 0.650 0.838
0.626 0.063 0.347
0.710 0.350 0.162
0.952 0.812 0.162
0.250 0.000 0.999
0.750 0.000 0.001
0.631 0.381 0.762
0.369 0.619 0.238